Entry 1:
First-principles (GGA-PBE) data for a relaxed structure of Np2NiGe4Rh3, as listed in the Alexandria database.

The value obtained for the formation energy is -0.440 eV/atom. The volume is 17.7 A^3/atom. As for the size of the total moment: 8.1 μB/cell.

Cell lengths 4.179, 4.179, 10.151 Å; angles 90.00, 90.00, 90.00 degrees
Each line ends with the local moment (μB).
Sites, in units of the cell vectors:
Np: 0.500 0.000 0.248  3.74
Np: 0.000 0.500 0.752  3.74
Ni: 0.500 0.500 0.500  0.24
Ge: 0.500 0.500 0.000  -0.01
Ge: 0.000 0.000 0.000  -0.01
Ge: 0.500 0.000 0.628  -0.01
Ge: 0.000 0.500 0.372  -0.01
Rh: 0.000 0.000 0.500  0.12
Rh: 0.500 0.000 0.867  -0.10
Rh: 0.000 0.500 0.133  -0.10

---

Entry 2:
First-principles (GGA-PBE) data for a relaxed structure of NpNi2Ge4Rh, as listed in the Alexandria database.

The value obtained for the formation energy is -0.214 eV/atom. The volume is 16.0 A^3/atom. As for the size of the total moment: 3.9 μB/cell.

Cell lengths 4.110, 4.110, 9.071 Å; angles 76.91, 76.91, 60.00 degrees
Each line ends with the local moment (μB).
Sites, in units of the cell vectors:
Np: 0.000 0.000 0.000  3.74
Ni: 0.762 0.762 0.713  0.00
Ni: 0.238 0.238 0.287  0.00
Ge: 0.397 0.397 0.809  -0.01
Ge: 0.876 0.876 0.373  0.01
Ge: 0.124 0.124 0.627  0.01
Ge: 0.603 0.603 0.191  -0.01
Rh: 0.500 0.500 0.500  -0.04

---

Entry 3:
First-principles (GGA-PBE) data for a relaxed structure of Np2Ni3Ge4Ru, as listed in the Alexandria database.

The value obtained for the formation energy is -0.356 eV/atom. The volume is 16.5 A^3/atom. As for the size of the total moment: 7.8 μB/cell.

Cell lengths 4.111, 4.111, 9.781 Å; angles 90.00, 90.00, 90.00 degrees
Each line ends with the local moment (μB).
Sites, in units of the cell vectors:
Np: 0.500 0.000 0.246  3.70
Np: 0.000 0.500 0.754  3.70
Ni: 0.000 0.000 0.500  0.08
Ni: 0.500 0.000 0.877  0.00
Ni: 0.000 0.500 0.123  0.00
Ge: 0.500 0.500 0.000  -0.02
Ge: 0.000 0.000 0.000  -0.02
Ge: 0.500 0.000 0.638  -0.01
Ge: 0.000 0.500 0.362  -0.01
Ru: 0.500 0.500 0.500  -0.07

---

Entry 4:
First-principles (GGA-PBE) data for a relaxed structure of Np2Ni4Ge3Sb, as listed in the Alexandria database.

The uncorrected formation energy is -296 kJ/mol of formula units. The volume is 17.1 A^3/atom. As for the size of the total moment: 7.7 μB/cell.

Cell lengths 4.208, 4.208, 9.630 Å; angles 90.00, 90.00, 90.00 degrees
Each line ends with the local moment (μB).
Sites, in units of the cell vectors:
Np: 0.500 0.000 0.235  3.71
Np: 0.000 0.500 0.765  3.71
Ni: 0.500 0.500 0.000  -0.02
Ni: 0.000 0.000 0.000  -0.01
Ni: 0.500 0.000 0.634  -0.01
Ni: 0.000 0.500 0.366  -0.01
Ge: 0.000 0.000 0.500  -0.02
Ge: 0.500 0.000 0.875  -0.03
Ge: 0.000 0.500 0.125  -0.03
Sb: 0.500 0.500 0.500  -0.02

---

no.,density of states at the Fermi level (states/eV/cell)
1,23.69
2,9.35
3,23.47
4,23.84